K2YS2 GGA-PBE optimized geometry; energy above the lowest structure with this stoichiometry = 0 meV/atom; SG = No. 127; size of the total moment = 0.00 Bohr magnetons per cell; N(E_F) = 0.4505 states/eV per atom
1.0
-2.958 2.227 -7.555
-7.866 -1.260 2.708
-0.178 3.430 1.081
S K Y
4 4 2
direct
0.311 0.189 0.500
0.189 0.689 0.500
0.689 0.811 0.500
0.811 0.311 0.500
0.615 0.115 0.000
0.115 0.385 0.000
0.385 0.885 0.000
0.885 0.615 0.000
0.500 0.500 0.000
0.000 0.000 0.000

=====

HfSc2BiN GGA-PBE optimized geometry; SG = No. 123; electronic total energy = -7.791 eV/atom; size of the total moment = 0.00 Bohr magnetons per cell; N(E_F) = 0.7181 states/eV per atom
1.0
4.651 0.000 0.000
0.000 4.325 0.000
0.000 0.000 4.651
Bi Sc N Hf
1 2 1 1
direct
0.500 0.500 0.500
0.000 0.000 0.500
0.500 0.000 0.000
0.000 0.000 0.000
0.000 0.500 0.000

=====

Sm2Zn5Au4 GGA-PBE optimized geometry; calculated formation energy = -47.6 kJ per mole of atoms; SG = No. 69; size of the total moment = 0.00 Bohr magnetons per cell; N(E_F) = 0.3465 states/eV per atom
1.0
-4.927 -2.204 -0.797
-1.580 -1.439 -4.928
0.869 -8.996 0.838
Zn Au Sm
5 4 2
direct
0.250 0.500 0.500
0.000 0.500 0.000
0.500 0.000 0.000
0.500 0.500 0.000
0.750 0.500 0.500
0.471 0.319 0.740
0.529 0.681 0.260
0.790 0.681 0.740
0.210 0.319 0.260
0.872 0.000 0.255
0.128 0.000 0.745

=====

Tb3PuP4 GGA-PBE optimized geometry; energy above the lowest structure with this stoichiometry = 4 meV/atom; calculated formation energy = -143.6 kJ per mole of atoms; SG = No. 65; size of the total moment = 4.88 Bohr magnetons per cell; N(E_F) = 1.4845 states/eV per atom
1.0
-1.857 3.250 1.478
-6.101 -2.475 -2.224
1.199 -2.254 6.463
Tb Pu P
3 1 4
direct
0.500 0.500 0.500
0.000 0.500 0.000
0.000 0.000 0.500
0.500 0.000 0.000
0.000 0.246 0.246
0.500 0.248 0.752
0.000 0.754 0.754
0.500 0.752 0.248

=====

NpScTe3Pd GGA-PBE optimized geometry; SG = No. 11; electronic total energy = -6.512 eV/atom; size of the total moment = 7.99 Bohr magnetons per cell; N(E_F) = 1.2636 states/eV per atom
1.0
-0.933 3.956 0.695
-4.386 0.106 -6.488
-6.506 -2.761 6.979
Pd Sc Np Te
2 2 2 6
direct
0.250 0.091 0.592
0.750 0.909 0.408
0.250 0.685 0.181
0.750 0.315 0.819
0.250 0.208 0.290
0.750 0.792 0.710
0.250 0.588 0.864
0.250 0.701 0.470
0.250 0.071 0.861
0.750 0.929 0.139
0.750 0.412 0.136
0.750 0.299 0.530

=====

Nd2MgPd4 GGA-PBE optimized geometry; calculated formation energy = -35.2 kJ per mole of atoms; SG = No. 69; size of the total moment = 0.00 Bohr magnetons per cell; N(E_F) = 0.5703 states/eV per atom
1.0
4.636 -0.542 -1.124
-0.898 4.581 -1.124
0.032 0.034 7.976
Nd Pd Mg
2 4 1
direct
0.637 0.637 0.275
0.363 0.363 0.725
0.000 0.500 0.000
0.171 0.171 0.341
0.829 0.829 0.659
0.500 0.000 0.000
0.000 0.000 0.000

=====

Ac2Zn9Ni3 GGA-PBE optimized geometry; calculated formation energy = -20.9 kJ per mole of atoms; SG = No. 15; size of the total moment = 0.00 Bohr magnetons per cell; N(E_F) = 0.6027 states/eV per atom
1.0
7.216 -0.129 -2.857
-4.358 6.422 -0.064
0.484 0.231 10.607
Zn Ni Ac
18 6 4
direct
0.241 0.537 0.579
0.880 0.130 0.750
0.800 0.298 0.939
0.759 0.463 0.421
0.855 0.011 0.022
0.120 0.870 0.250
0.530 0.078 0.260
0.682 0.729 0.760
0.489 0.833 0.478
0.145 0.989 0.978
0.141 0.139 0.439
0.859 0.861 0.561
0.470 0.922 0.740
0.511 0.167 0.522
0.458 0.662 0.921
0.318 0.271 0.240
0.542 0.338 0.079
0.200 0.702 0.061
0.500 0.000 0.000
0.186 0.359 0.003
0.145 0.817 0.503
0.814 0.641 0.997
0.855 0.183 0.497
0.500 0.500 0.500
0.344 0.246 0.759
0.656 0.754 0.241
0.013 0.415 0.259
0.987 0.585 0.741

=====

SiHg2Sb GGA-PBE optimized geometry; energy above the lowest structure with this stoichiometry = 236 meV/atom; SG = No. 47; size of the total moment = 0.00 Bohr magnetons per cell; N(E_F) = 0.3276 states/eV per atom
1.0
-0.395 0.088 -3.263
-3.985 -3.757 0.381
-3.554 3.825 0.534
Hg Si Sb
2 1 1
direct
0.000 0.000 0.000
0.500 0.500 0.000
0.000 0.500 0.500
0.500 0.000 0.500

=====

EuY2O4 GGA-PBE optimized geometry; energy above the lowest structure with this stoichiometry = 0 meV/atom; SG = No. 227; size of the total moment = 14.00 Bohr magnetons per cell; N(E_F) = 0.6133 states/eV per atom
1.0
-5.563 -0.291 4.132
-3.800 -5.794 0.296
0.122 -3.939 5.707
O Y Eu
8 4 2
direct
0.921 0.360 0.360
0.360 0.921 0.360
0.360 0.360 0.360
0.890 0.890 0.329
0.890 0.890 0.890
0.890 0.329 0.890
0.360 0.360 0.921
0.329 0.890 0.890
0.125 0.125 0.125
0.125 0.125 0.625
0.625 0.125 0.125
0.125 0.625 0.125
0.750 0.750 0.750
0.500 0.500 0.500

=====

Ca2WCl GGA-PBE optimized geometry; energy above the lowest structure with this stoichiometry = 775 meV/atom; SG = No. 225; size of the total moment = 4.08 Bohr magnetons per cell; N(E_F) = 1.3783 states/eV per atom
1.0
1.602 -4.050 3.110
0.724 0.779 5.245
-3.394 -2.174 3.521
Cl W Ca
1 1 2
direct
0.000 0.000 0.000
0.500 0.500 0.500
0.750 0.750 0.750
0.250 0.250 0.250

=====

Tb2PrHo2Er2 GGA-PBE optimized geometry; calculated formation energy = 15.0 kJ per mole of atoms; SG = No. 12; size of the total moment = 0.00 Bohr magnetons per cell; N(E_F) = 1.7441 states/eV per atom
1.0
3.487 0.000 0.000
-1.744 5.655 0.956
0.000 0.403 11.738
Ho Tb Pr Er
2 2 1 2
direct
0.296 0.592 0.369
0.704 0.408 0.631
0.345 0.691 0.073
0.655 0.309 0.927
0.000 0.000 0.500
0.406 0.812 0.773
0.594 0.188 0.227